Entry 1:
# PBE-GGA Ac3Zn2Pd9Au, optimized geometry
data_Ac3Zn2Pd9Au
_cell_length_a 7.658
_cell_length_b 7.658
_cell_length_c 6.666
_cell_angle_alpha 90.00
_cell_angle_beta 90.00
_cell_angle_gamma 120.00
_space_group_name_H-M_alt 'P 1'
_space_group_IT_number 1
loop_
_space_group_symop_operation_xyz
'x,y,z'
loop_
_atom_site_label
_atom_site_fract_x
_atom_site_fract_y
_atom_site_fract_z
_atom_site_occupancy
Pd1 0.500 0.500 0.000 1
Pd2 0.000 0.500 0.000 1
Pd3 0.824 0.649 0.674 1
Pd4 0.649 0.824 0.326 1
Pd5 0.351 0.176 0.674 1
Pd6 0.500 0.000 0.000 1
Pd7 0.176 0.351 0.326 1
Pd8 0.824 0.176 0.674 1
Pd9 0.176 0.824 0.326 1
Zn1 0.333 0.667 0.147 1
Zn2 0.667 0.333 0.853 1
Ac1 0.000 0.000 0.000 1
Ac2 0.333 0.667 0.658 1
Ac3 0.667 0.333 0.342 1
Au1 0.000 0.000 0.500 1
# total energy: -0.3484 Ry/atom
# calculated volume: 22.57 Å³ per atom
# space group: No. 164

Entry 2:
# PBE-GGA Ac2Pm12Au7, optimized geometry
data_Ac2Pm12Au7
_cell_length_a 4.975
_cell_length_b 12.153
_cell_length_c 12.153
_cell_angle_alpha 120.00
_cell_angle_beta 90.00
_cell_angle_gamma 90.00
_space_group_name_H-M_alt 'P 1'
_space_group_IT_number 1
loop_
_space_group_symop_operation_xyz
'x,y,z'
loop_
_atom_site_label
_atom_site_fract_x
_atom_site_fract_y
_atom_site_fract_z
_atom_site_occupancy
Au1 0.000 0.757 0.982 1
Au2 0.500 0.451 0.061 1
Au3 0.000 0.333 0.667 1
Au4 0.500 0.610 0.549 1
Au5 0.500 0.939 0.390 1
Au6 0.000 0.018 0.775 1
Au7 0.000 0.225 0.243 1
Pm1 0.000 0.254 0.019 1
Pm2 0.500 0.876 0.605 1
Pm3 0.000 0.981 0.235 1
Pm4 0.000 0.448 0.503 1
Pm5 0.500 0.729 0.124 1
Pm6 0.500 0.236 0.785 1
Pm7 0.500 0.549 0.764 1
Pm8 0.000 0.055 0.552 1
Pm9 0.500 0.215 0.451 1
Pm10 0.000 0.765 0.746 1
Pm11 0.000 0.497 0.945 1
Pm12 0.500 0.395 0.271 1
Ac1 0.500 0.000 0.000 1
Ac2 0.000 0.667 0.333 1
# total energy: -0.3469 Ry/atom
# calculated volume: 30.30 Å³ per atom
# space group: No. 174

Entry 3:
# PBE-GGA Ac3PmAu2, optimized geometry
data_Ac3PmAu2
_cell_length_a 5.351
_cell_length_b 7.544
_cell_length_c 9.913
_cell_angle_alpha 90.00
_cell_angle_beta 90.00
_cell_angle_gamma 90.00
_space_group_name_H-M_alt 'P 1'
_space_group_IT_number 1
loop_
_space_group_symop_operation_xyz
'x,y,z'
loop_
_atom_site_label
_atom_site_fract_x
_atom_site_fract_y
_atom_site_fract_z
_atom_site_occupancy
Pm1 0.500 0.005 0.420 1
Pm2 0.500 0.505 0.580 1
Ac1 0.000 0.495 0.922 1
Ac2 0.000 0.850 0.656 1
Ac3 0.000 0.350 0.344 1
Ac4 0.000 0.995 0.078 1
Ac5 0.500 0.146 0.829 1
Ac6 0.500 0.646 0.171 1
Au1 0.000 0.279 0.650 1
Au2 0.500 0.224 0.156 1
Au3 0.500 0.724 0.844 1
Au4 0.000 0.779 0.350 1
# total energy: -0.3265 Ry/atom
# calculated volume: 33.35 Å³ per atom
# space group: No. 26
# energy above the lowest structure with this stoichiometry: 0.000 eV/atom

The E_form results, record by record, are as follows: -0.414 -0.522 -0.504 eV per atom.